1.
A plane-wave DFT calculation with PBE was carried out for a geometry-optimized CaHo2Tl2Ag2 structure.

a = 9.3054 Å, b = 9.3054 Å, c = 9.3054 Å
α = 30.88°, β = 30.88°, γ = 30.88°
Closest atoms and distances in Å follow each position.
Positions (direct):
1 Ca 0.0000 0.0000 0.0000  6 Tl 3.48, 2 Ho 3.54
2 Ho 0.1333 0.1333 0.1333  3 Ag 2.96, 3 Tl 3.26
3 Ho 0.8667 0.8667 0.8667  3 Ag 2.96, 3 Tl 3.26
4 Tl 0.2589 0.2589 0.2589  3 Ag 2.97, 3 Ho 3.26
5 Tl 0.7411 0.7411 0.7411  3 Ag 2.97, 3 Ho 3.26
6 Ag 0.4385 0.4385 0.4385  3 Ho 2.96, 3 Tl 2.97, 1 Ag 3.27
7 Ag 0.5615 0.5615 0.5615  3 Ho 2.96, 3 Tl 2.97, 1 Ag 3.27

Properties
uncorrected energy	-3.25	eV per atom
space group	R-3m
DOS at the Fermi energy	0.96	states/eV/atom
volume	188.2	Å³ per cell
formation enthalpy at 0 K	-1.177	eV/f.u.



2.
A plane-wave DFT calculation with PBE was carried out for a geometry-optimized Dy4Ho2ErTm structure.

a = 4.9717 Å, b = 4.9717 Å, c = 9.9551 Å
α = 90.00°, β = 90.00°, γ = 90.00°
Closest atoms and distances in Å follow each position.
Positions (direct):
1 Dy 0.0000 0.5000 0.2496  4 Ho 3.52, 2 Tm 3.52, 4 Dy 3.52, 2 Er 3.52
2 Dy 0.0000 0.5000 0.7504  4 Ho 3.52, 2 Tm 3.52, 4 Dy 3.52, 2 Er 3.52
3 Dy 0.5000 0.0000 0.2496  4 Ho 3.52, 2 Tm 3.52, 4 Dy 3.52, 2 Er 3.52
4 Dy 0.5000 0.0000 0.7504  4 Ho 3.52, 2 Tm 3.52, 4 Dy 3.52, 2 Er 3.52
5 Ho 0.0000 0.0000 0.0000  8 Dy 3.52, 4 Tm 3.52
6 Ho 0.5000 0.5000 0.5000  4 Er 3.52, 8 Dy 3.52
7 Er 0.0000 0.0000 0.5000  4 Ho 3.52, 8 Dy 3.52
8 Tm 0.5000 0.5000 0.0000  8 Dy 3.52, 4 Ho 3.52

Properties
uncorrected energy	-4.55	eV per atom
space group	P4/mmm
DOS at the Fermi energy	1.33	states/eV/atom
volume	246.1	Å³ per cell
formation enthalpy at 0 K	0.161	eV/f.u.



3.
A plane-wave DFT calculation with PBE was carried out for a geometry-optimized YbGa5Co structure.

a = 4.2101 Å, b = 4.2101 Å, c = 6.8095 Å
α = 90.00°, β = 90.00°, γ = 90.00°
Closest atoms and distances in Å follow each position.
Positions (direct):
1 Yb 0.0000 0.0000 0.0000  12 Ga 2.98
2 Ga 0.0000 0.5000 0.3089  2 Co 2.47, 1 Ga 2.60
3 Ga 0.0000 0.5000 0.6911  2 Co 2.47, 1 Ga 2.60
4 Ga 0.5000 0.0000 0.3089  2 Co 2.47, 1 Ga 2.60
5 Ga 0.5000 0.0000 0.6911  2 Co 2.47, 1 Ga 2.60
6 Ga 0.5000 0.5000 0.0000  8 Ga 2.98, 4 Yb 2.98
7 Co 0.0000 0.0000 0.5000  8 Ga 2.47

Properties
uncorrected energy	-3.81	eV per atom
space group	P4/mmm
DOS at the Fermi energy	0.28	states/eV/atom
volume	120.7	Å³ per cell
formation enthalpy at 0 K	-2.932	eV/f.u.



4.
A plane-wave DFT calculation with PBE was carried out for a geometry-optimized CdFeHgCl2 structure.

a = 5.1233 Å, b = 5.1233 Å, c = 5.9262 Å
α = 90.00°, β = 90.00°, γ = 90.00°
Closest atoms and distances in Å follow each position.
Positions (direct):
1 Cd 0.0000 0.0000 0.0000  4 Cl 2.56
2 Fe 0.5000 0.5000 0.5000  4 Hg 3.62, 8 Cl 3.92
3 Hg 0.0000 0.0000 0.5000  2 Cd 2.96
4 Cl 0.0000 0.5000 0.0000  2 Cd 2.56
5 Cl 0.5000 0.0000 0.0000  2 Cd 2.56

Properties
uncorrected energy	-2.36	eV per atom
E_form (uncorrected)	0.312	eV/atom
space group	P4/mmm
DOS at the Fermi energy	0.78	states/eV/atom
volume	155.6	Å³ per cell



5.
A plane-wave DFT calculation with PBE was carried out for a geometry-optimized CsCu4Pb3Br12 structure.

a = 9.6150 Å, b = 9.6150 Å, c = 9.6150 Å
α = 104.67°, β = 104.67°, γ = 104.67°
Closest atoms and distances in Å follow each position.
Positions (direct):
1 Cs 0.0000 0.0000 0.0000  6 Br 3.69
2 Cu 0.0662 0.5000 0.9338  3 Br 2.33-2.42
3 Cu 0.5000 0.5000 0.5000  3 Br 2.36
4 Cu 0.5000 0.9338 0.0662  3 Br 2.33-2.42
5 Cu 0.9338 0.0662 0.5000  3 Br 2.33-2.42
6 Pb 0.0000 0.5554 0.4446  6 Br 3.00-3.13
7 Pb 0.4446 0.0000 0.5554  6 Br 3.00-3.13
8 Pb 0.5554 0.4446 0.0000  6 Br 3.00-3.13
9 Br 0.0029 0.6315 0.7680  1 Cu 2.33
10 Br 0.0930 0.9070 0.5000  1 Cu 2.42
11 Br 0.2320 0.3685 0.9971  1 Cu 2.33
12 Br 0.3450 0.6550 0.5000  1 Cu 2.36
13 Br 0.3685 0.9971 0.2320  1 Cu 2.33
14 Br 0.5000 0.0930 0.9070  1 Cu 2.42
15 Br 0.5000 0.3450 0.6550  1 Cu 2.36
16 Br 0.6315 0.7680 0.0029  1 Cu 2.33
17 Br 0.6550 0.5000 0.3450  1 Cu 2.36
18 Br 0.7680 0.0029 0.6315  1 Cu 2.33
19 Br 0.9070 0.5000 0.0930  1 Cu 2.42
20 Br 0.9971 0.2320 0.3685  1 Cu 2.33

Properties
uncorrected energy	-3.12	eV per atom
E_form (uncorrected)	-0.696	eV/atom
space group	R32
DOS at the Fermi energy	0.68	states/eV/atom
volume	782.7	Å³ per cell



6.
A plane-wave DFT calculation with PBE was carried out for a geometry-optimized Gd2HfTh structure.

a = 3.4062 Å, b = 3.4062 Å, c = 10.0916 Å
α = 90.00°, β = 90.00°, γ = 90.00°
Closest atoms and distances in Å follow each position.
Positions (direct):
1 Gd 0.0000 0.0000 0.2304  4 Hf 3.35, 4 Gd 3.41, 4 Th 3.63
2 Gd 0.0000 0.0000 0.7696  4 Hf 3.35, 4 Gd 3.41, 4 Th 3.63
3 Hf 0.5000 0.5000 0.0000  8 Gd 3.35, 4 Hf 3.41
4 Th 0.5000 0.5000 0.5000  4 Th 3.41, 8 Gd 3.63

Properties
uncorrected energy	-11.24	eV per atom
polymorph energy (0 for the lowest one)	0.004	eV per atom
space group	P4/mmm
DOS at the Fermi energy	1.40	states/eV/atom
volume	117.1	Å³ per cell
formation enthalpy at 0 K	0.576	eV/f.u.



7.
A plane-wave DFT calculation with PBE was carried out for a geometry-optimized MgIn2W structure.

a = 3.1217 Å, b = 3.1217 Å, c = 28.7809 Å
α = 90.00°, β = 90.00°, γ = 120.00°
Closest atoms and distances in Å follow each position.
Positions (direct):
1 Mg 0.0000 0.0000 0.0000  6 In 3.05, 6 Mg 3.12
2 Mg 0.3333 0.6667 0.6667  6 In 3.05, 6 Mg 3.12
3 Mg 0.6667 0.3333 0.3333  6 In 3.05, 6 Mg 3.12
4 In 0.0000 0.0000 0.2478  3 W 2.95, 3 Mg 3.05, 6 In 3.12
5 In 0.0000 0.0000 0.7522  3 W 2.95, 3 Mg 3.05, 6 In 3.12
6 In 0.3333 0.6667 0.4189  3 W 2.95, 3 Mg 3.05, 6 In 3.12
7 In 0.3333 0.6667 0.9144  3 W 2.95, 3 Mg 3.05, 6 In 3.12
8 In 0.6667 0.3333 0.0856  3 W 2.95, 3 Mg 3.05, 6 In 3.12
9 In 0.6667 0.3333 0.5811  3 W 2.95, 3 Mg 3.05, 6 In 3.12
10 W 0.0000 0.0000 0.5000  6 In 2.95, 6 W 3.12
11 W 0.3333 0.6667 0.1667  6 In 2.95, 6 W 3.12
12 W 0.6667 0.3333 0.8333  6 In 2.95, 6 W 3.12

Properties
uncorrected energy	-4.61	eV per atom
space group	R-3m
DOS at the Fermi energy	0.88	states/eV/atom
volume	242.9	Å³ per cell
formation enthalpy at 0 K	1.576	eV/f.u.



8.
A plane-wave DFT calculation with PBE was carried out for a geometry-optimized TcP3 structure.

a = 3.1595 Å, b = 4.8044 Å, c = 4.0842 Å
α = 90.00°, β = 90.00°, γ = 90.00°
Closest atoms and distances in Å follow each position.
Positions (direct):
1 Tc 0.0000 0.0000 0.0000  4 P 2.37-2.41
2 P 0.0000 0.5000 0.0468  2 P 2.18, 2 Tc 2.41
3 P 0.5000 0.0000 0.5684  2 Tc 2.37, 2 P 2.48
4 P 0.5000 0.5000 0.4156  2 P 2.18

Properties
uncorrected energy	-6.55	eV per atom
polymorph energy (0 for the lowest one)	0.546	eV per atom
space group	Pmm2
DOS at the Fermi energy	0.79	states/eV/atom
volume	62.0	Å³ per cell
formation enthalpy at 0 K	0.404	eV/f.u.



9.
A plane-wave DFT calculation with PBE was carried out for a geometry-optimized CeHfV structure.

a = 9.4437 Å, b = 4.6975 Å, c = 6.3100 Å
α = 90.00°, β = 114.12°, γ = 90.00°
Closest atoms and distances in Å follow each position.
Positions (direct):
1 Ce 0.1571 0.0000 0.0969  1 V 2.66, 1 Ce 2.71
2 Ce 0.3429 0.5000 0.9031  1 V 2.66, 1 Ce 2.71
3 Ce 0.6571 0.5000 0.0969  1 V 2.66, 1 Ce 2.71
4 Ce 0.8429 0.0000 0.9031  1 V 2.66, 1 Ce 2.71
5 Hf 0.0830 0.5000 0.3475  5 V 2.93-2.98, 1 Hf 2.94, 2 Ce 3.07
6 Hf 0.4170 0.0000 0.6525  5 V 2.93-2.98, 1 Hf 2.94, 2 Ce 3.07
7 Hf 0.5830 0.0000 0.3475  5 V 2.93-2.98, 1 Hf 2.94, 2 Ce 3.07
8 Hf 0.9170 0.5000 0.6525  5 V 2.93-2.98, 1 Hf 2.94, 2 Ce 3.07
9 V 0.1059 0.0000 0.6496  1 V 2.12
10 V 0.3941 0.5000 0.3504  1 V 2.12
11 V 0.6059 0.5000 0.6496  1 V 2.12
12 V 0.8941 0.0000 0.3504  1 V 2.12

Properties
uncorrected energy	-8.07	eV per atom
space group	C2/m
DOS at the Fermi energy	1.60	states/eV/atom
volume	255.5	Å³ per cell
formation enthalpy at 0 K	0.784	eV/f.u.



10.
A plane-wave DFT calculation with PBE was carried out for a geometry-optimized YNi2 structure.

a = 3.4990 Å, b = 3.4990 Å, c = 4.3654 Å
α = 90.00°, β = 90.00°, γ = 90.00°
Closest atoms and distances in Å follow each position.
Positions (direct):
1 Y 0.0000 0.0000 0.0000  8 Ni 2.80
2 Ni 0.0000 0.5000 0.5000  4 Ni 2.47
3 Ni 0.5000 0.0000 0.5000  4 Ni 2.47

Properties
uncorrected energy	-6.08	eV per atom
space group	P4/mmm
DOS at the Fermi energy	0.72	states/eV/atom
volume	53.4	Å³ per cell
formation enthalpy at 0 K	-0.221	eV/f.u.



11.
A plane-wave DFT calculation with PBE was carried out for a geometry-optimized NbTePt3 structure.

a = 4.9005 Å, b = 4.9005 Å, c = 4.9005 Å
α = 90.00°, β = 90.00°, γ = 90.00°
Closest atoms and distances in Å follow each position.
Positions (direct):
1 Nb 0.0000 0.0000 0.0000  12 Pt 3.47
2 Te 0.5000 0.5000 0.5000  6 Pt 2.45
3 Pt 0.0000 0.5000 0.5000  2 Te 2.45
4 Pt 0.5000 0.0000 0.5000  2 Te 2.45
5 Pt 0.5000 0.5000 0.0000  2 Te 2.45

Properties
uncorrected energy	-5.28	eV per atom
E_form (uncorrected)	0.983	eV/atom
polymorph energy (0 for the lowest one)	0.095	eV per atom
space group	Pm-3m
DOS at the Fermi energy	0.56	states/eV/atom
volume	117.7	Å³ per cell



12.
A plane-wave DFT calculation with PBE was carried out for a geometry-optimized MnWAu2 structure.

a = 2.8962 Å, b = 2.8962 Å, c = 27.4512 Å
α = 90.00°, β = 90.00°, γ = 120.00°
Closest atoms and distances in Å follow each position.
Positions (direct):
1 Mn 0.0000 0.0000 0.0000  3 W 2.71, 3 Au 2.75, 6 Mn 2.90
2 Mn 0.3333 0.6667 0.6667  3 W 2.71, 3 Au 2.75, 6 Mn 2.90
3 Mn 0.6667 0.3333 0.3333  3 W 2.71, 3 Au 2.75, 6 Mn 2.90
4 W 0.0000 0.0000 0.2555  3 Mn 2.71, 3 Au 2.88, 6 W 2.90
5 W 0.3333 0.6667 0.9221  3 Mn 2.71, 3 Au 2.88, 6 W 2.90
6 W 0.6667 0.3333 0.5888  3 Mn 2.71, 3 Au 2.88, 6 W 2.90
7 Au 0.0000 0.0000 0.5033  3 W 2.88, 9 Au 2.90-3.00
8 Au 0.0000 0.0000 0.7461  3 Mn 2.75, 9 Au 2.90-3.00
9 Au 0.3333 0.6667 0.1700  3 W 2.88, 9 Au 2.90-3.00
10 Au 0.3333 0.6667 0.4128  3 Mn 2.75, 9 Au 2.90-3.00
11 Au 0.6667 0.3333 0.0794  3 Mn 2.75, 9 Au 2.90-3.00
12 Au 0.6667 0.3333 0.8366  3 W 2.88, 9 Au 2.90-3.00

Properties
uncorrected energy	-6.89	eV per atom
polymorph energy (0 for the lowest one)	0.084	eV per atom
space group	R3m
DOS at the Fermi energy	0.66	states/eV/atom
volume	199.4	Å³ per cell
formation enthalpy at 0 K	1.100	eV/f.u.



Which of these has the lowest uncorrected energy?
Gd2HfTh